An optimized crystal structure of Pr3PuBi4. Source: Alexandria via LeMat-Bulk, functional PBE.

Values from the calculation:
Raw total energy ... -50.52 eV/cell
Excess energy over the best structure of this formula in the dataset ... 4 meV per atom
Energy relative to the elements ... -0.7904 eV/atom

abc: 6.5340 6.5340 6.5340
angles: 90.00 90.00 90.00
With the nearest neighbours (Å) after each atom.
Fractional coordinates of all 8 atoms:
1 Pr 0.0000 0.0000 0.5000  6 Bi 3.27
2 Pr 0.0000 0.5000 0.0000  6 Bi 3.27
3 Pr 0.5000 0.0000 0.0000  6 Bi 3.27
4 Pu 0.5000 0.5000 0.5000  6 Bi 3.27
5 Bi 0.0000 0.0000 0.0000  6 Pr 3.27
6 Bi 0.0000 0.5000 0.5000  2 Pu 3.27, 4 Pr 3.27
7 Bi 0.5000 0.0000 0.5000  2 Pu 3.27, 4 Pr 3.27
8 Bi 0.5000 0.5000 0.0000  2 Pu 3.27, 4 Pr 3.27